# MnCrF2 | Alexandria via LeMat-Bulk | GGA+U | relaxed
# Energy above the most stable polymorph in this dataset: 3.725 kcal/mol of atoms
# Fermi-level density of states: 3.230 states/eV/cell
data_MnCrF2
_chemical_formula_sum 'Mn4 Cr4 F8'
_space_group_name_H-M_alt 'I -4 2 d'
_space_group_IT_number 122
_space_group_name_Hall 'I -4 2bw'
_cell_length_a 5.328
_cell_length_b 5.328
_cell_length_c 10.402
_cell_angle_alpha 90.00
_cell_angle_beta 90.00
_cell_angle_gamma 90.00
loop_
_atom_site_label
_atom_site_fract_x
_atom_site_fract_y
_atom_site_fract_z
Mn1 0.000 0.000 0.000
Cr1 0.000 0.000 0.500
F1 0.185 0.250 0.125